# La2PCBr PBE-GGA relaxed
data_La2PCBr
_cell_length_a 5.287
_cell_length_b 5.287
_cell_length_c 3.858
_cell_angle_alpha 90.00
_cell_angle_beta 90.00
_cell_angle_gamma 90.00
_space_group_name_H-M_alt 'P 4/m m m'
_space_group_IT_number 123
_space_group_name_Hall '-P 4 2'
loop_
_atom_site_label
_atom_site_type_symbol
_atom_site_fract_x
_atom_site_fract_y
_atom_site_fract_z
_atom_site_occupancy
La1 La 0.000 0.500 0.000 1
P1 P 0.000 0.000 0.500 1
C1 C 0.000 0.000 0.000 1
Br1 Br 0.500 0.500 0.500 1
# ρ = 6.17 Mg/m³
# E_tot = -5.853 eV/atom
# V = 21.6 Å³ per atom


# La8PC3Br4 PBE-GGA relaxed
data_La8PC3Br4
_cell_length_a 7.9718
_cell_length_b 7.9718
_cell_length_c 22.9011
_cell_angle_alpha 90.00
_cell_angle_beta 90.00
_cell_angle_gamma 120.00
_space_group_name_H-M_alt 'R -3 m'
_space_group_IT_number 166
_space_group_name_Hall '-R 3 2"'
loop_
_atom_site_label
_atom_site_type_symbol
_atom_site_fract_x
_atom_site_fract_y
_atom_site_fract_z
_atom_site_occupancy
La1 La 0.0000 0.0000 0.2275 1
La2 La 0.0209 0.5105 0.7701 1
P1 P 0.0000 0.0000 0.5000 1
C1 C 0.0000 0.5000 0.5000 1
Br1 Br 0.0000 0.0000 0.0000 1
Br2 Br 0.0000 0.5000 0.0000 1
# ρ = 5.92 Mg/m³
# E_tot = -6.020 eV/atom
# V = 26.3 Å³ per atom


# LaPCBr2 PBE-GGA relaxed
data_LaPCBr2
_cell_length_a 5.819
_cell_length_b 5.819
_cell_length_c 4.819
_cell_angle_alpha 90.00
_cell_angle_beta 90.00
_cell_angle_gamma 90.00
_space_group_name_H-M_alt 'P 4/m m m'
_space_group_IT_number 123
_space_group_name_Hall '-P 4 2'
loop_
_atom_site_label
_atom_site_type_symbol
_atom_site_fract_x
_atom_site_fract_y
_atom_site_fract_z
_atom_site_occupancy
La1 La 0.000 0.000 0.000 1
P1 P 0.500 0.500 0.500 1
C1 C 0.000 0.000 0.500 1
Br1 Br 0.000 0.500 0.000 1
# ρ = 3.48 Mg/m³
# E_tot = -3.684 eV/atom
# V = 32.6 Å³ per atom


# La4PdCBr2 PBE-GGA relaxed
data_La4PdCBr2
_cell_length_a 7.381
_cell_length_b 4.021
_cell_length_c 7.839
_cell_angle_alpha 90.00
_cell_angle_beta 106.89
_cell_angle_gamma 90.00
_space_group_name_H-M_alt 'P 1 2/m 1'
_space_group_IT_number 10
_space_group_name_Hall '-P 2y'
loop_
_atom_site_label
_atom_site_type_symbol
_atom_site_fract_x
_atom_site_fract_y
_atom_site_fract_z
_atom_site_occupancy
La1 La 0.203 0.000 0.193 1
La2 La 0.235 0.500 0.799 1
Pd1 Pd 0.500 0.000 0.000 1
C1 C 0.000 0.500 0.000 1
Br1 Br 0.000 0.000 0.500 1
Br2 Br 0.500 0.500 0.500 1
# ρ = 6.22 Mg/m³
# E_tot = -5.610 eV/atom
# V = 27.8 Å³ per atom


# LaPrCBr PBE-GGA relaxed
data_LaPrCBr
_cell_length_a 6.651
_cell_length_b 3.845
_cell_length_c 7.992
_cell_angle_alpha 90.00
_cell_angle_beta 106.08
_cell_angle_gamma 90.00
_space_group_name_H-M_alt 'C 1 m 1'
_space_group_IT_number 8
_space_group_name_Hall 'C -2y'
loop_
_atom_site_label
_atom_site_type_symbol
_atom_site_fract_x
_atom_site_fract_y
_atom_site_fract_z
_atom_site_occupancy
La1 La 0.000 0.000 0.000 1
Pr1 Pr 0.211 0.000 0.632 1
C1 C 0.105 0.500 0.816 1
Br1 Br 0.275 0.500 0.326 1
# ρ = 6.29 Mg/m³
# E_tot = -6.025 eV/atom
# V = 24.6 Å³ per atom


# La6Pt2CBr3 PBE-GGA relaxed
data_La6Pt2CBr3
_cell_length_a 7.211
_cell_length_b 12.489
_cell_length_c 8.078
_cell_angle_alpha 90.00
_cell_angle_beta 107.24
_cell_angle_gamma 90.00
_space_group_name_H-M_alt 'C 1 2/m 1'
_space_group_IT_number 12
_space_group_name_Hall '-C 2y'
loop_
_atom_site_label
_atom_site_type_symbol
_atom_site_fract_x
_atom_site_fract_y
_atom_site_fract_z
_atom_site_occupancy
La1 La 0.218 0.152 0.196 1
La2 La 0.238 0.000 0.801 1
Pt1 Pt 0.000 0.334 0.000 1
C1 C 0.000 0.000 0.000 1
Br1 Br 0.000 0.171 0.500 1
Br2 Br 0.000 0.500 0.500 1
# ρ = 7.05 Mg/m³
# E_tot = -5.806 eV/atom
# V = 29.0 Å³ per atom


Please write out number 2 again, unchanged.
# La8PC3Br4 PBE-GGA relaxed
data_La8PC3Br4
_cell_length_a 7.9718
_cell_length_b 7.9718
_cell_length_c 22.9011
_cell_angle_alpha 90.00
_cell_angle_beta 90.00
_cell_angle_gamma 120.00
_space_group_name_H-M_alt 'R -3 m'
_space_group_IT_number 166
_space_group_name_Hall '-R 3 2"'
loop_
_atom_site_label
_atom_site_type_symbol
_atom_site_fract_x
_atom_site_fract_y
_atom_site_fract_z
_atom_site_occupancy
La1 La 0.0000 0.0000 0.2275 1
La2 La 0.0209 0.5105 0.7701 1
P1 P 0.0000 0.0000 0.5000 1
C1 C 0.0000 0.5000 0.5000 1
Br1 Br 0.0000 0.0000 0.0000 1
Br2 Br 0.0000 0.5000 0.0000 1
# ρ = 5.92 Mg/m³
# E_tot = -6.020 eV/atom
# V = 26.3 Å³ per atom